LiDy2Pa | the Alexandria database | PBE | optimized geometry; uncorrected energy = -19.23 eV for the cell shown; energy above the lowest structure with this stoichiometry = 214 meV per atom; SG = R-3m, No. 166; volume = 108 Å³/cell; density of states at the Fermi level = 4.95 states/eV/cell; total moment = 0.00 μB/cell; crystal system = trigonal
1.0
1.6187 0.9345 11.8715
-1.6187 0.9345 11.8715
0.0000 -1.8691 11.8715
Li Dy Pa
1 2 1
Direct
0.0000 0.0000 0.0000
0.4108 0.4108 0.4108
0.5892 0.5892 0.5892
0.5000 0.5000 0.5000



Cd2MoIr | the Alexandria database | PBE | optimized geometry; uncorrected energy = -20.20 eV for the cell shown; energy above the lowest structure with this stoichiometry = 315 meV per atom; SG = Imm2, No. 44; volume = 73 Å³/cell; density of states at the Fermi level = 2.26 states/eV/cell; total moment = 0.00 μB/cell; crystal system = orthorhombic
1.0
-1.4424 2.4721 5.1414
1.4424 -2.4721 5.1414
1.4424 2.4721 -5.1414
Cd Mo Ir
2 1 1
Direct
0.0000 0.0000 0.0000
0.7161 0.2161 0.5000
0.4535 0.4535 0.0000
0.2489 0.7489 0.5000



Na2SnSb2 | the Alexandria database | PBE | optimized geometry; energy relative to the elements, uncorrected = -0.01 eV per atom; uncorrected energy = -14.93 eV for the cell shown; energy above the lowest structure with this stoichiometry = 236 meV per atom; SG = I4/mmm, No. 139; volume = 151 Å³/cell; density of states at the Fermi level = 1.80 states/eV/cell; total moment = 0.00 μB/cell; crystal system = tetragonal
1.0
-2.3917 2.3917 6.6209
2.3917 -2.3917 6.6209
2.3917 2.3917 -6.6209
Na Sn Sb
2 1 2
Direct
0.2500 0.7500 0.5000
0.7500 0.2500 0.5000
0.0000 0.0000 0.0000
0.3963 0.3963 0.0000
0.6037 0.6037 0.0000



ZrBiCl2 | the Alexandria database | PBE | optimized geometry; energy relative to the elements, uncorrected = -1.12 eV per atom; uncorrected energy = -41.20 eV for the cell shown; energy above the lowest structure with this stoichiometry = 86 meV per atom; SG = P1, No. 1; volume = 259 Å³/cell; density of states at the Fermi level = 3.42 states/eV/cell; total moment = 0.00 μB/cell; crystal system = triclinic
1.0
3.3601 0.0000 0.0000
0.0374 8.4069 0.0000
0.0097 3.9674 9.1746
Zr Bi Cl
2 2 4
Direct
0.0000 0.0000 0.0000
0.4981 0.2571 0.6342
0.5029 0.8542 0.7959
0.5038 0.6517 0.1182
0.4955 0.5640 0.4868
0.4983 0.1129 0.1353
0.9969 0.3244 0.8061
0.9992 0.1962 0.4665



volume of number 3 (Na2SnSb2)?
151 Å³/cell



The highest uncorrected energy belongs to which entry?
Na2SnSb2



Look up the energy above the lowest structure with this stoichiometry of the fourth one.
86 meV per atom



Number 1 is which compound?
LiDy2Pa